No. 1
Na9W13O39: single point on PBEsol structure, meta-GGA SCAN.

Geometry as extended XYZ:
```
61
Lattice="11.244 -2.727 0.000 11.244 2.727 0.000 -3.967 0.000 12.165" Properties=species:S:1:pos:R:3 pbc="T T T"
Na 0.000 0.000 0.000
Na 1.350 0.000 6.575
Na 6.611 0.000 0.982
Na 5.251 0.000 10.258
Na 7.964 0.000 7.499
Na 10.556 0.000 4.666
Na 13.269 0.000 1.906
Na 11.909 0.000 11.182
Na 17.170 0.000 5.590
W -1.983 0.000 6.082
W 0.669 0.000 3.278
W 3.318 0.000 0.467
W 1.981 0.000 9.802
W 4.613 0.000 7.010
W 7.267 0.000 4.200
W 9.907 0.000 1.418
W 8.613 0.000 10.747
W 11.254 0.000 7.965
W 13.907 0.000 5.155
W 16.539 0.000 2.363
W 15.202 0.000 11.698
W 17.851 0.000 8.886
O 3.638 1.364 6.082
O -0.642 0.000 4.694
O 2.973 1.352 10.781
O 6.283 1.364 3.278
O 1.967 0.000 1.853
O 5.642 1.352 7.951
O 8.930 1.351 0.448
O 0.679 0.000 11.242
O 8.266 1.351 5.169
O 7.586 1.351 9.828
O 3.306 0.000 8.417
O 10.934 1.351 2.336
O 10.254 1.351 6.995
O 5.968 0.000 5.631
O 9.590 1.351 11.717
O 12.878 1.352 4.213
O 8.596 0.000 2.805
O 12.237 1.364 8.886
O 15.547 1.352 1.384
O 3.638 -1.364 6.082
O 11.244 0.000 0.000
O 2.973 -1.352 10.781
O 6.283 -1.364 3.278
O 9.924 0.000 9.359
O 5.642 -1.352 7.951
O 8.930 -1.351 0.448
O 12.552 0.000 6.534
O 8.266 -1.351 5.169
O 7.586 -1.351 9.828
O 15.214 0.000 3.747
O 10.934 -1.351 2.336
O 10.254 -1.351 6.995
O 17.841 0.000 0.923
O 9.590 -1.351 11.717
O 12.878 -1.352 4.213
O 16.553 0.000 10.312
O 12.237 -1.364 8.886
O 15.547 -1.352 1.384
O 19.162 0.000 7.471
```

As for the formation energy (no corrections): -2.26 eV per atom. The density of states at the Fermi level comes out at 10.083 states/eV/cell. As for the magnetization: 0.00 μB/f.u. Its space group is No. 12.

=====

No. 2
Na3W4O12: single point on PBEsol structure, meta-GGA SCAN.

Geometry as extended XYZ:
```
19
Lattice="-3.862 3.862 3.862 3.862 -3.862 3.862 3.862 3.862 -3.862" Properties=species:S:1:pos:R:3 pbc="T T T"
Na 3.862 0.000 0.000
Na 0.000 3.862 0.000
Na 0.000 0.000 3.862
W 1.931 1.931 -1.931
W 1.931 -1.931 1.931
W -1.931 1.931 1.931
W 1.931 1.931 1.931
O 3.862 1.913 -1.913
O 3.862 -1.913 1.913
O 1.913 3.862 -1.913
O 1.949 1.949 0.000
O 1.949 0.000 1.949
O 1.913 -1.913 3.862
O 3.862 1.913 1.913
O 0.000 1.949 1.949
O -1.913 3.862 1.913
O -1.913 1.913 3.862
O 1.913 3.862 1.913
O 1.913 1.913 3.862
```

As for the formation energy (no corrections): -2.26 eV per atom. The density of states at the Fermi level comes out at 2.526 states/eV/cell. As for the magnetization: 0.00 μB/f.u. Its space group is No. 229.

=====

No. 3
Na6W7O21: single point on PBEsol structure, meta-GGA SCAN.

Geometry as extended XYZ:
```
34
Lattice="7.242 4.181 2.234 -7.242 4.181 2.234 0.000 -8.362 2.234" Properties=species:S:1:pos:R:3 pbc="T T T"
Na -4.161 -3.594 3.338
Na -5.193 1.807 3.365
Na 1.032 -5.400 3.365
Na -1.032 5.400 3.338
Na 5.193 -1.807 3.338
Na 4.161 3.594 3.365
W 0.000 0.000 0.000
W -1.031 -2.971 2.236
W -2.057 2.379 2.236
W -3.089 -0.592 4.467
W 3.089 0.592 2.236
W 2.057 -2.379 4.467
W 1.031 2.971 4.467
O -7.242 0.000 3.352
O -3.621 2.091 1.117
O -0.521 -1.507 1.097
O -1.045 1.205 1.097
O -4.654 -0.897 3.353
O -1.550 -4.479 3.350
O 1.566 0.302 1.097
O -2.087 -1.806 3.350
O -2.608 0.904 3.353
O 0.521 -2.710 3.353
O -3.104 3.582 3.350
O 3.621 2.091 1.117
O 3.104 -3.582 3.353
O -0.521 2.710 3.350
O 2.608 -0.904 3.350
O 2.087 1.806 3.353
O -1.566 -0.302 5.606
O 1.550 4.479 3.353
O 4.654 0.897 3.350
O 1.045 -1.205 5.606
O 0.521 1.507 5.606
```

As for the formation energy (no corrections): -2.25 eV per atom. The density of states at the Fermi level comes out at 5.880 states/eV/cell. As for the magnetization: 0.00 μB/f.u. Its space group is No. 148.

=====

No. 4
Na7W9O27: single point on PBEsol structure, meta-GGA SCAN.

Geometry as extended XYZ:
```
43
Lattice="6.693 0.000 0.000 2.236 8.348 0.000 0.002 1.790 9.293" Properties=species:S:1:pos:R:3 pbc="T T T"
Na 0.000 0.000 0.000
Na 2.265 6.535 5.166
Na 2.265 3.005 1.018
Na 2.248 1.220 6.202
Na 6.684 8.918 3.091
Na 6.667 7.133 8.275
Na 6.667 3.603 4.127
W 1.124 4.178 7.230
W 3.358 8.930 3.092
W 3.364 7.147 8.271
W 3.357 3.596 4.132
W 3.347 0.000 0.000
W 5.575 6.542 5.162
W 5.568 2.991 1.023
W 5.574 1.208 6.201
W 7.808 5.960 2.063
O 0.001 0.895 4.647
O 2.214 7.468 2.587
O 2.239 8.352 7.227
O 2.214 5.662 0.501
O 2.215 4.761 3.105
O 2.218 5.679 7.750
O 2.214 3.878 5.664
O 2.215 2.970 8.268
O 2.235 2.084 3.614
O 2.230 0.322 1.545
O 4.467 7.764 4.147
O 4.471 8.654 8.754
O 4.469 6.880 6.707
O 4.465 4.174 0.000
O 4.466 5.069 4.647
O 4.463 3.258 2.586
O 4.461 1.484 0.539
O 4.465 2.374 5.146
O 6.702 9.816 7.748
O 6.697 8.054 5.679
O 6.717 7.168 1.025
O 6.718 6.260 3.630
O 6.714 4.459 1.543
O 6.717 5.377 6.188
O 6.718 4.476 8.792
O 6.693 1.785 2.066
O 6.718 2.670 6.706
```

As for the formation energy (no corrections): -2.26 eV per atom. The density of states at the Fermi level comes out at 7.646 states/eV/cell. As for the magnetization: 0.00 μB/f.u. Its space group is No. 2.

=====

No. 5
Na5W7O21: single point on PBEsol structure, meta-GGA SCAN.

Geometry as extended XYZ:
```
33
Lattice="11.249 -2.729 0.000 11.249 2.729 0.000 -1.326 0.000 6.552" Properties=species:S:1:pos:R:3 pbc="T T T"
Na 0.000 0.000 0.000
Na 5.289 0.000 5.571
Na 9.223 0.000 1.893
Na 11.949 0.000 4.660
Na 15.883 0.000 0.981
W -0.663 0.000 3.276
W 1.992 0.000 6.082
W 5.946 0.000 2.357
W 8.585 0.000 5.137
W 12.587 0.000 1.416
W 15.226 0.000 4.195
W 19.180 0.000 0.470
O 4.962 1.364 3.276
O 0.642 0.000 4.696
O 6.942 1.353 1.384
O 7.609 1.351 6.108
O 4.646 0.000 0.921
O 9.613 1.352 4.216
O 11.559 1.352 2.336
O 7.276 0.000 3.748
O 13.563 1.351 0.444
O 14.230 1.353 5.168
O 4.962 -1.364 3.276
O 11.249 0.000 0.000
O 6.942 -1.353 1.384
O 7.609 -1.351 6.108
O 13.896 0.000 2.805
O 9.613 -1.352 4.216
O 11.559 -1.352 2.336
O 16.526 0.000 5.631
O 13.563 -1.351 0.444
O 14.230 -1.353 5.168
O 20.530 0.000 1.857
```

As for the formation energy (no corrections): -2.26 eV per atom. The density of states at the Fermi level comes out at 5.300 states/eV/cell. As for the magnetization: 0.00 μB/f.u. Its space group is No. 12.

=====

No. 6
NaWO3: single point on PBEsol structure, meta-GGA SCAN.

Geometry as extended XYZ:
```
5
Lattice="3.745 0.000 0.000 0.000 3.745 0.000 0.000 0.000 3.745" Properties=species:S:1:pos:R:3 pbc="T T T"
Na 0.000 0.000 0.000
W 1.873 1.873 1.873
O 0.000 0.000 1.873
O 0.000 1.873 0.000
O 1.873 0.000 0.000
```

As for the formation energy (no corrections): 0.73 eV per atom. The density of states at the Fermi level comes out at 3.892 states/eV/cell. As for the magnetization: 1.00 μB/f.u. Its space group is No. 221.

=====

No. 7
Na2W3O10: single point on PBEsol structure, meta-GGA SCAN.

Geometry as extended XYZ:
```
30
Lattice="6.942 -4.074 0.000 6.942 4.074 0.000 -1.264 0.000 7.764" Properties=species:S:1:pos:R:3 pbc="T T T"
Na 2.194 0.543 1.326
Na 1.562 -0.543 5.208
Na 11.059 0.543 2.557
Na 10.427 -0.543 6.439
W 6.626 2.557 1.941
W 4.827 0.718 3.972
W 5.459 -0.718 0.090
W 7.162 0.718 7.674
W 7.794 -0.718 3.792
W 5.994 -2.557 5.823
O -0.230 0.436 6.993
O 0.402 -0.436 3.110
O 4.863 2.142 2.710
O 4.496 1.502 5.493
O 2.672 0.021 7.384
O 3.304 -0.021 3.501
O 8.389 2.142 1.172
O 6.428 0.857 0.623
O 6.825 0.857 3.259
O 7.492 1.502 6.154
O 5.128 -1.502 1.611
O 5.796 -0.857 4.505
O 6.193 -0.857 7.141
O 4.231 -2.142 6.592
O 9.316 0.021 4.263
O 9.948 -0.021 0.381
O 8.124 -1.502 2.271
O 7.757 -2.142 5.055
O 12.218 0.436 4.654
O 12.850 -0.436 0.772
```

As for the formation energy (no corrections): -2.23 eV per atom. The density of states at the Fermi level comes out at 0.000 states/eV/cell. As for the magnetization: 0.00 μB/f.u. Its space group is No. 15.

=====

No. 8
Na2W4O13: single point on PBEsol structure, meta-GGA SCAN.

Geometry as extended XYZ:
```
19
Lattice="8.324 -1.895 0.000 8.324 1.895 0.000 -0.874 0.000 8.355" Properties=species:S:1:pos:R:3 pbc="T T T"
Na 3.371 0.000 1.606
Na 12.403 0.000 6.748
W 6.250 0.000 4.374
W 6.765 0.000 1.101
W 9.009 0.000 7.254
W 9.523 0.000 3.981
O 0.530 0.000 7.142
O 1.111 0.000 4.131
O 4.874 0.000 5.457
O 4.603 0.000 8.257
O 5.504 0.000 2.579
O 8.001 0.000 2.883
O 8.324 0.000 0.000
O 7.773 0.000 5.472
O 10.270 0.000 5.776
O 11.171 0.000 0.098
O 10.899 0.000 2.898
O 14.662 0.000 4.223
O 15.244 0.000 1.213
```

As for the formation energy (no corrections): -2.26 eV per atom. The density of states at the Fermi level comes out at 0.000 states/eV/cell. As for the magnetization: 0.00 μB/f.u. Its space group is No. 12.

=====

No. 9
Na10W13O39: single point on PBEsol structure, meta-GGA SCAN.

Geometry as extended XYZ:
```
62
Lattice="6.692 0.000 0.000 2.233 8.346 0.000 2.233 2.980 13.422" Properties=species:S:1:pos:R:3 pbc="T T T"
Na 1.119 2.386 2.049
Na 3.377 7.134 6.193
Na 3.379 3.595 10.344
Na 3.376 5.382 1.044
Na 3.363 1.813 5.152
Na 7.794 9.513 8.271
Na 7.781 5.943 12.378
Na 7.778 7.730 3.078
Na 7.780 4.192 7.229
Na 10.038 8.939 11.373
W 0.000 0.000 0.000
W 2.238 4.772 4.129
W 4.471 9.522 8.268
W 4.471 5.952 12.379
W 4.475 7.740 3.086
W 4.471 4.190 7.227
W 6.698 8.940 11.364
W 4.459 2.386 2.058
W 6.687 7.136 6.196
W 6.682 3.585 10.336
W 6.687 5.374 1.044
W 6.686 1.803 5.154
W 8.920 6.554 9.293
O 1.116 1.490 6.711
O 1.116 4.173 0.000
O 3.328 8.060 8.772
O 3.325 6.252 10.855
O 3.350 8.945 4.130
O 3.329 4.483 12.901
O 3.327 5.355 8.251
O 3.327 8.043 1.564
O 3.333 6.272 3.608
O 3.328 4.470 5.694
O 5.561 10.121 12.382
O 3.348 2.679 7.743
O 3.328 3.564 3.088
O 5.581 9.265 9.814
O 5.579 7.458 11.895
O 3.347 2.709 0.518
O 5.578 8.358 7.211
O 3.347 0.902 2.602
O 5.577 4.767 11.358
O 5.581 7.475 4.649
O 5.579 5.663 6.711
O 5.576 3.851 8.773
O 5.581 6.558 2.064
O 7.810 10.423 10.820
O 5.580 2.968 6.212
O 7.810 8.616 12.904
O 5.578 3.868 1.528
O 5.577 2.061 3.608
O 7.830 7.761 10.334
O 7.810 8.647 5.679
O 5.596 1.204 1.040
O 7.829 6.855 7.728
O 7.825 5.053 9.814
O 7.830 3.282 11.858
O 7.830 5.970 5.171
O 7.829 6.843 0.521
O 7.807 2.381 9.292
O 7.832 5.073 2.568
O 7.829 3.265 4.651
```

As for the formation energy (no corrections): -2.26 eV per atom. The density of states at the Fermi level comes out at 11.267 states/eV/cell. As for the magnetization: 0.00 μB/f.u. Its space group is No. 2.

=====

No. 10
NaW8O24: single point on PBEsol structure, meta-GGA SCAN.

Geometry as extended XYZ:
```
33
Lattice="-3.788 3.788 7.758 3.788 -3.788 7.758 3.788 3.788 -7.758" Properties=species:S:1:pos:R:3 pbc="T T T"
Na 0.000 0.000 0.000
W 5.715 1.852 -2.134
W 1.944 1.952 -1.765
W 5.624 1.944 1.765
W 1.852 1.861 2.134
W -1.927 1.936 5.624
W 1.844 1.836 5.993
W -1.836 1.844 9.524
W 1.936 1.927 9.893
O 1.900 1.908 -3.833
O 3.799 -2.038 5.838
O 1.751 -0.011 1.921
O 5.826 0.011 1.921
O 3.804 2.021 -1.931
O 5.706 1.869 -0.037
O 1.869 1.870 0.037
O 3.772 1.772 1.931
O 2.016 -0.016 5.827
O 1.772 3.804 -1.931
O -0.012 2.007 1.934
O 5.668 1.900 3.833
O 1.888 1.880 3.926
O -0.016 1.767 5.828
O 2.021 3.772 1.931
O 1.767 0.016 9.689
O 3.777 2.038 5.838
O -1.918 1.919 7.722
O 1.919 1.918 7.795
O 0.012 5.570 1.934
O 1.781 3.776 5.824
O -1.781 3.800 5.824
O 0.016 2.016 9.690
O -1.880 1.888 11.591
```

As for the formation energy (no corrections): -2.24 eV per atom. The density of states at the Fermi level comes out at 2.831 states/eV/cell. As for the magnetization: 0.00 μB/f.u. Its space group is No. 82.

=====

Mass density list, top to bottom, in g/cm3: 7.17, 7.18, 7.20, 7.19, 7.17, 8.06, 5.73, 6.23, 7.19, 7.00